An optimized crystal structure of RbCeWO6, computed with PBE+U.

Lattice parameters (Å, degrees): 5.746 5.746 6.140 90.06 90.06 120.22
Fractional positions:
Rb 0.000 0.000 0.000
Ce 0.666 0.334 0.500
W 0.334 0.666 0.500
O 0.036 0.408 0.318
O 0.036 0.627 0.682
O 0.372 0.407 0.681
O 0.373 0.964 0.318
O 0.592 0.964 0.682
O 0.593 0.628 0.319

Computed properties:
VASP energy	-63.9	eV per cell
symmetry	C2 (5)